(1)
# CuSn2As2Pd7

An optimized crystal structure of CuSn2As2Pd7 (GGA-PBE, Alexandria).

Cell lengths 5.5466, 5.6046, 14.6259 Å; angles 90.00, 96.41, 90.00 degrees
Closest atoms and distances in Å follow each position.
Space group C2/m (No. 12)
Asymmetric unit:
Cu  0.0000  0.0000  0.0000 (multiplicity 2)  12 Pd 2.77-2.80
Sn  0.1272  0.0000  0.4110 (multiplicity 4)  5 Pd 2.70-2.86
As  0.0681  0.5000  0.2370 (multiplicity 4)  5 Pd 2.46-2.49
Pd  0.0000  0.5000  0.0000 (multiplicity 2)  4 Cu 2.77-2.80, 8 Pd 2.78
Pd  0.1131  0.5000  0.4086 (multiplicity 4)  1 As 2.49, 1 Sn 2.70
Pd  0.2108  0.2499  0.8652 (multiplicity 8)  2 As 2.46-2.47

Computed properties:
For the total energy, the calculation gives -5.054 eV per atom.

***

(2)
# SrCuAsPd

An optimized crystal structure of SrCuAsPd (GGA-PBE, Alexandria).

Cell lengths 3.9012, 3.9012, 11.2584 Å; angles 90.00, 90.00, 90.00 degrees
Closest atoms and distances in Å follow each position.
Space group P4/nmm (No. 129, origin choice 2)
Asymmetric unit:
Sr  0.2500  0.2500  0.2243 (multiplicity 2)  4 As 3.19, 4 Pd 3.19
Cu  0.2500  0.7500  0.5000 (multiplicity 2)  4 As 2.47, 4 Cu 2.76
As  0.2500  0.2500  0.6343 (multiplicity 2)  4 Cu 2.47
Pd  0.2500  0.7500  0.0000 (multiplicity 2)  4 Pd 2.76

Computed properties:
For the total energy, the calculation gives -4.352 eV per atom.

***

(3)
# Sr3CuAs2Pd9

An optimized crystal structure of Sr3CuAs2Pd9 (GGA-PBE, Alexandria).

Cell lengths 7.2138, 7.2138, 7.2597 Å; angles 90.00, 90.00, 120.00 degrees
Closest atoms and distances in Å follow each position.
Space group P-3m1 (No. 164)
Asymmetric unit:
Sr  0.0000  0.0000  0.0000 (multiplicity 1)  12 Pd 3.25-3.61, 2 Cu 3.63
Sr  0.3333  0.6667  0.6670 (multiplicity 2)  6 Pd 3.14-3.19
Cu  0.0000  0.0000  0.5000 (multiplicity 1)  6 Pd 2.43
As  0.3333  0.6667  0.1647 (multiplicity 2)  6 Pd 2.39-2.40
Pd  0.0000  0.5000  0.0000 (multiplicity 3)  2 As 2.40
Pd  0.1706  0.3412  0.3381 (multiplicity 6)  1 As 2.39, 1 Cu 2.43

Computed properties:
For the total energy, the calculation gives -4.743 eV per atom.

***

(4)
# SrCuAsPd2

An optimized crystal structure of SrCuAsPd2 (GGA-PBE, Alexandria).

Cell lengths 4.8734, 4.8734, 4.5517 Å; angles 90.00, 90.00, 90.00 degrees
Closest atoms and distances in Å follow each position.
Space group P4/mmm (No. 123)
Asymmetric unit:
Sr  0.0000  0.0000  0.0000 (multiplicity 1)  8 Pd 3.33, 4 Cu 3.45
Cu  0.5000  0.5000  0.0000 (multiplicity 1)  2 As 2.28
As  0.5000  0.5000  0.5000 (multiplicity 1)  2 Cu 2.28, 4 Pd 2.44
Pd  0.0000  0.5000  0.5000 (multiplicity 2)  2 As 2.44

Computed properties:
For the total energy, the calculation gives -4.592 eV per atom.

***

(5)
# CuTeAs2Pd

An optimized crystal structure of CuTeAs2Pd (GGA-PBE, Alexandria).

Cell lengths 5.3628, 5.3628, 4.9145 Å; angles 90.00, 90.00, 90.00 degrees
Closest atoms and distances in Å follow each position.
Space group P4/mmm (No. 123)
Asymmetric unit:
Cu  0.0000  0.0000  0.0000 (multiplicity 1)  8 As 3.64, 4 Pd 3.79
Te  0.5000  0.5000  0.5000 (multiplicity 1)  2 Pd 2.46, 4 As 2.68
As  0.0000  0.5000  0.5000 (multiplicity 2)  2 Te 2.68
Pd  0.5000  0.5000  0.0000 (multiplicity 1)  2 Te 2.46

Computed properties:
For the total energy, the calculation gives -3.231 eV per atom. The formation energy from raw total energies is 1.115 eV/atom.

***

(6)
# CuTe2As2Pd7

An optimized crystal structure of CuTe2As2Pd7 (GGA-PBE, Alexandria).

Cell lengths 5.6044, 5.6084, 14.9867 Å; angles 90.00, 100.73, 90.00 degrees
Closest atoms and distances in Å follow each position.
Space group C2/m (No. 12)
Asymmetric unit:
Cu  0.0000  0.0000  0.0000 (multiplicity 2)  12 Pd 2.78-2.80
Te  0.2088  0.0000  0.4163 (multiplicity 4)  5 Pd 2.73-2.82
As  0.1156  0.5000  0.2313 (multiplicity 4)  5 Pd 2.46
Pd  0.0000  0.5000  0.0000 (multiplicity 2)  8 Pd 2.78, 4 Cu 2.80
Pd  0.1840  0.2500  0.8679 (multiplicity 8)  2 As 2.46
Pd  0.2002  0.5000  0.3986 (multiplicity 4)  1 As 2.46, 1 Te 2.73

Computed properties:
For the total energy, the calculation gives -4.928 eV per atom. The formation energy from raw total energies is -0.259 eV/atom.

***

(7)
# TlCuAsPd2

An optimized crystal structure of TlCuAsPd2 (GGA-PBE, Alexandria).

Cell lengths 4.6944, 4.6944, 5.4096 Å; angles 90.00, 90.00, 90.00 degrees
Closest atoms and distances in Å follow each position.
Space group P4/mmm (No. 123)
Asymmetric unit:
Tl  0.0000  0.0000  0.0000 (multiplicity 1)  2 As 2.70
Cu  0.5000  0.5000  0.0000 (multiplicity 1)  4 Tl 3.32, 8 Pd 3.58
As  0.0000  0.0000  0.5000 (multiplicity 1)  4 Pd 2.35
Pd  0.0000  0.5000  0.5000 (multiplicity 2)  2 As 2.35

Computed properties:
For the total energy, the calculation gives -3.792 eV per atom.

***

(8)
# Zn2Cu7As2Pd

An optimized crystal structure of Zn2Cu7As2Pd (GGA-PBE, Alexandria).

Cell lengths 5.3540, 5.5150, 11.4791 Å; angles 90.00, 90.28, 90.00 degrees
Closest atoms and distances in Å follow each position.
Space group C2/m (No. 12)
Asymmetric unit:
Zn  0.0008  0.0000  0.3167 (multiplicity 4)  6 Cu 2.49-2.65, 4 As 2.68-2.76
Cu  0.0000  0.0000  0.0000 (multiplicity 2)  8 Cu 2.64, 4 Pd 2.68-2.76
Cu  0.2475  0.5000  0.4998 (multiplicity 4)  2 Zn 2.49-2.51, 2 As 2.54-2.56, 4 Cu 2.65-2.76
Cu  0.2487  0.2497  0.8420 (multiplicity 8)  2 As 2.59-2.60, 2 Pd 2.64, 2 Zn 2.64-2.65, 6 Cu 2.64-2.76
As  0.0007  0.5000  0.3105 (multiplicity 4)  6 Cu 2.54-2.60, 4 Zn 2.68-2.76
Pd  0.0000  0.5000  0.0000 (multiplicity 2)  12 Cu 2.64-2.76

Computed properties:
For the total energy, the calculation gives -3.792 eV per atom.

***

Please write out number 3 again, unchanged.
# Sr3CuAs2Pd9

An optimized crystal structure of Sr3CuAs2Pd9 (GGA-PBE, Alexandria).

Cell lengths 7.2138, 7.2138, 7.2597 Å; angles 90.00, 90.00, 120.00 degrees
Closest atoms and distances in Å follow each position.
Space group P-3m1 (No. 164)
Asymmetric unit:
Sr  0.0000  0.0000  0.0000 (multiplicity 1)  12 Pd 3.25-3.61, 2 Cu 3.63
Sr  0.3333  0.6667  0.6670 (multiplicity 2)  6 Pd 3.14-3.19
Cu  0.0000  0.0000  0.5000 (multiplicity 1)  6 Pd 2.43
As  0.3333  0.6667  0.1647 (multiplicity 2)  6 Pd 2.39-2.40
Pd  0.0000  0.5000  0.0000 (multiplicity 3)  2 As 2.40
Pd  0.1706  0.3412  0.3381 (multiplicity 6)  1 As 2.39, 1 Cu 2.43

Computed properties:
For the total energy, the calculation gives -4.743 eV per atom.

***

What is the formula in the sixth record?
CuTe2As2Pd7

***

Number 2 is which compound?
SrCuAsPd